# 1
K2TbCrSe4 after structural relaxation. Source: Alexandria via LeMat-Bulk, functional PBE.

Cell: 4.060 6.975 7.993 Å, 107.30 90.00 90.00°
Each line ends with the local moment (μB).
Sites, in units of the cell vectors:
Se  0.500  0.257  0.200  -0.03
Tb  0.000  0.000  0.000  0.02
Cr  0.500  0.500  0.000  3.06
Se  0.000  0.705  0.186  -0.08
K  0.500  0.000  0.500  -0.01
Se  0.500  0.743  0.800  -0.03
Se  0.000  0.295  0.814  -0.08
K  0.000  0.500  0.500  0.00

Computed properties:
formation energy (no corrections)	-1.2369	eV/atom
VASP energy	-40.28	eV per cell


# 2
K2CrTeSe4 after structural relaxation. Source: Alexandria via LeMat-Bulk, functional PBE.

Cell: 8.308 8.308 8.073 Å, 115.51 115.51 89.98°
Each line ends with the local moment (μB).
Sites, in units of the cell vectors:
Se  0.198  0.260  0.987  -0.03
Se  0.804  0.328  0.589  -0.08
K  0.500  0.000  0.000  0.00
Cr  0.000  0.500  0.500  2.98
Te  0.000  0.000  0.000  0.04
Se  0.760  0.698  0.487  -0.03
Se  0.196  0.672  0.411  -0.08
K  0.000  0.000  0.500  0.00
K  0.500  0.500  0.000  0.00
Cr  0.000  0.500  0.000  2.98
K  0.500  0.000  0.500  0.00
Se  0.802  0.740  0.013  -0.03
Se  0.172  0.696  0.911  -0.08
Se  0.240  0.302  0.513  -0.03
Te  0.500  0.500  0.500  0.04
Se  0.828  0.304  0.089  -0.08

Computed properties:
formation energy (no corrections)	-0.5806	eV/atom
VASP energy	-67.09	eV per cell